1.
# HoHfTi4, optimized geometry, DFT PBE-GGA
# E_tot = -7.455 eV/atom
# Total moment = 7.729 μB per formula unit
# DFT formation energy = 1.38 eV per formula unit
data_HoHfTi4
_chemical_formula_sum 'Ho4 Hf4 Ti16'
_symmetry_space_group_name_H-M 'F -4 3 m'
_symmetry_Int_Tables_number 216
_symmetry_space_group_name_Hall 'F -4 2 3'
_cell_length_a 7.956
_cell_length_b 7.956
_cell_length_c 7.956
_cell_angle_alpha 90.00
_cell_angle_beta 90.00
_cell_angle_gamma 90.00
loop_
_atom_site_label
_atom_site_fract_x
_atom_site_fract_y
_atom_site_fract_z
_atom_site_occupancy
Ho1 0.000 0.000 0.000 1
Hf1 0.250 0.250 0.750 1
Ti1 0.123 0.123 0.377 1

=====

2.
# HoHf2Ti, optimized geometry, DFT PBE-GGA
# E_tot = -7.930 eV/atom
# Total moment = 0.000 μB per formula unit
# DFT formation energy = 0.66 eV per formula unit
data_HoHf2Ti
_chemical_formula_sum 'Ho1 Hf2 Ti1'
_symmetry_space_group_name_H-M 'P 4/m m m'
_symmetry_Int_Tables_number 123
_symmetry_space_group_name_Hall '-P 4 2'
_cell_length_a 3.581
_cell_length_b 3.581
_cell_length_c 7.174
_cell_angle_alpha 90.00
_cell_angle_beta 90.00
_cell_angle_gamma 90.00
loop_
_atom_site_label
_atom_site_fract_x
_atom_site_fract_y
_atom_site_fract_z
_atom_site_occupancy
Ho1 0.000 0.000 0.000 1
Hf1 0.500 0.500 0.297 1
Ti1 0.000 0.000 0.500 1

=====

3.
# HoHf2Ti, optimized geometry, DFT PBE-GGA
# E_tot = -7.913 eV/atom
# Total moment = 0.000 μB per formula unit
# DFT formation energy = 0.73 eV per formula unit
data_HoHf2Ti
_chemical_formula_sum 'Ho3 Hf6 Ti3'
_symmetry_space_group_name_H-M 'R -3 m'
_symmetry_Int_Tables_number 166
_symmetry_space_group_name_Hall '-R 3 2"'
_cell_length_a 3.1750
_cell_length_b 3.1750
_cell_length_c 31.2623
_cell_angle_alpha 90.00
_cell_angle_beta 90.00
_cell_angle_gamma 120.00
loop_
_atom_site_label
_atom_site_fract_x
_atom_site_fract_y
_atom_site_fract_z
_atom_site_occupancy
Ho1 0.0000 0.0000 0.0000 1
Hf1 0.0000 0.0000 0.2427 1
Ti1 0.0000 0.0000 0.5000 1

=====

4.
# HoHf2Ti, optimized geometry, DFT PBE-GGA
# E_tot = -7.931 eV/atom
# Total moment = 0.000 μB per formula unit
# DFT formation energy = 0.66 eV per formula unit
data_HoHf2Ti
_chemical_formula_sum 'Ho3 Hf6 Ti3'
_symmetry_space_group_name_H-M 'R 3 m'
_symmetry_Int_Tables_number 160
_symmetry_space_group_name_Hall 'R 3 -2"'
_cell_length_a 3.1967
_cell_length_b 3.1967
_cell_length_c 30.9272
_cell_angle_alpha 90.00
_cell_angle_beta 90.00
_cell_angle_gamma 120.00
loop_
_atom_site_label
_atom_site_fract_x
_atom_site_fract_y
_atom_site_fract_z
_atom_site_occupancy
Ho1 0.0000 0.0000 0.0000 1
Hf1 0.0000 0.0000 0.2428 1
Hf2 0.0000 0.0000 0.4238 1
Ti1 0.0000 0.0000 0.8333 1

=====

5.
# HoHfTlZn, optimized geometry, DFT PBE-GGA
# E_tot = -4.619 eV/atom
# Total moment = 0.000 μB per formula unit
# DFT formation energy = -0.31 eV per formula unit
data_HoHfTlZn
_chemical_formula_sum 'Ho4 Hf4 Tl4 Zn4'
_symmetry_space_group_name_H-M 'F -4 3 m'
_symmetry_Int_Tables_number 216
_symmetry_space_group_name_Hall 'F -4 2 3'
_cell_length_a 7.098
_cell_length_b 7.098
_cell_length_c 7.098
_cell_angle_alpha 90.00
_cell_angle_beta 90.00
_cell_angle_gamma 90.00
loop_
_atom_site_label
_atom_site_fract_x
_atom_site_fract_y
_atom_site_fract_z
_atom_site_occupancy
Ho1 0.000 0.000 0.000 1
Hf1 0.000 0.000 0.500 1
Tl1 0.250 0.250 0.750 1
Zn1 0.250 0.250 0.250 1

=====

6.
# Ho2TmHf, optimized geometry, DFT PBE-GGA
# E_tot = -5.763 eV/atom
# Total moment = 0.000 μB per formula unit
# DFT formation energy = 0.53 eV per formula unit
data_Ho2TmHf
_chemical_formula_sum 'Ho2 Tm1 Hf1'
_symmetry_space_group_name_H-M 'P 4/m m m'
_symmetry_Int_Tables_number 123
_symmetry_space_group_name_Hall '-P 4 2'
_cell_length_a 4.813
_cell_length_b 4.813
_cell_length_c 4.798
_cell_angle_alpha 90.00
_cell_angle_beta 90.00
_cell_angle_gamma 90.00
loop_
_atom_site_label
_atom_site_fract_x
_atom_site_fract_y
_atom_site_fract_z
_atom_site_occupancy
Ho1 0.000 0.500 0.000 1
Tm1 0.000 0.000 0.500 1
Hf1 0.500 0.500 0.500 1

=====

Q: Which formula does entry 3 have?
A: HoHf2Ti